1.
VASP calculation (PBE-GGA) on a relaxed AcPmCo crystal.

It has space group C2/m (No. 12), with a = 12.146 Å, b = 3.911 Å, c = 9.240 Å, α = 90.00°, β = 127.63° and γ = 90.00°. The distinct sites, in fractional coordinates, are Ac at (0.193, 0.000, 0.122), Pm at (0.077, 0.500, 0.372) and Co at (0.121, 0.000, 0.612).

Its energy of formation from the pure elements is -0.02 eV/atom. The electronic total energy comes out at -5.337 eV/atom. Its crystal system is monoclinic.



2.
VASP calculation (PBE-GGA) on a relaxed AcPm3Co2 crystal.

It has space group C2/m (No. 12), with a = 15.422 Å, b = 5.115 Å, c = 9.009 Å, α = 90.00°, β = 106.60° and γ = 90.00°. The distinct sites, in fractional coordinates, are Ac at (0.130, 0.000, 0.011), Pm at (0.049, 0.000, 0.344), Pm at (0.109, 0.500, 0.695), Pm at (0.201, 0.500, 0.348), Co at (0.030, 0.500, 0.128) and Co at (0.131, 0.000, 0.668).

Its energy of formation from the pure elements is 0.05 eV/atom. The electronic total energy comes out at -5.375 eV/atom. Its crystal system is monoclinic.



3.
VASP calculation (PBE-GGA) on a relaxed AcPmPrCo crystal.

It has space group Cm (No. 8), with a = 6.751 Å, b = 3.905 Å, c = 9.795 Å, α = 90.00°, β = 90.01° and γ = 90.00°. The distinct sites, in fractional coordinates, are Ac at (0.000, 0.000, 0.000), Pm at (0.166, 0.500, 0.676), Pr at (0.165, 0.500, 0.331) and Co at (0.499, 0.500, 0.506).

Its energy of formation from the pure elements is 0.11 eV/atom. The electronic total energy comes out at -5.080 eV/atom. Its crystal system is monoclinic.



4.
VASP calculation (PBE-GGA) on a relaxed Ac2Pm2CoRh2 crystal.

It has space group C2/m (No. 12), with a = 14.151 Å, b = 4.030 Å, c = 7.991 Å, α = 90.00°, β = 120.59° and γ = 90.00°. The distinct sites, in fractional coordinates, are Ac at (0.038, 0.000, 0.273), Pm at (0.214, 0.500, 0.790), Co at (0.000, 0.500, 0.500) and Rh at (0.118, 0.500, 0.044).

Its energy of formation from the pure elements is -0.37 eV/atom. The electronic total energy comes out at -6.021 eV/atom. Its crystal system is monoclinic.



5.
VASP calculation (PBE-GGA) on a relaxed AcPmCoRu crystal.

It has space group F-43m (No. 216), with a = 7.154 Å, b = 7.154 Å, c = 7.154 Å, α = 90.00°, β = 90.00° and γ = 90.00°. The distinct sites, in fractional coordinates, are Ac at (0.000, 0.000, 0.000), Pm at (0.000, 0.000, 0.500), Co at (0.250, 0.250, 0.250) and Ru at (0.250, 0.250, 0.750).

Its energy of formation from the pure elements is 0.07 eV/atom. The electronic total energy comes out at -6.238 eV/atom. Its crystal system is cubic.



6.
VASP calculation (PBE-GGA) on a relaxed AcPmCoSi crystal.

It has space group F-43m (No. 216), with a = 7.350 Å, b = 7.350 Å, c = 7.350 Å, α = 90.00°, β = 90.00° and γ = 90.00°. The distinct sites, in fractional coordinates, are Ac at (0.000, 0.000, 0.000), Pm at (0.000, 0.000, 0.500), Co at (0.250, 0.250, 0.250) and Si at (0.250, 0.250, 0.750).

For the formation energy without anion corrections, the calculation gives -0.11 eV per atom. The electronic total energy comes out at -5.454 eV/atom. Its crystal system is cubic.



7.
VASP calculation (PBE-GGA) on a relaxed Ac3Pm3Tl2Co crystal.

It has space group P-62m (No. 189), with a = 9.1055 Å, b = 9.1055 Å, c = 3.9579 Å, α = 90.00°, β = 90.00° and γ = 120.00°. The distinct sites, in fractional coordinates, are Ac at (0.0000, 0.7634, 0.0000), Pm at (0.0000, 0.4063, 0.5000), Tl at (0.3333, 0.6667, 0.0000) and Co at (0.0000, 0.0000, 0.5000).

Its energy of formation from the pure elements is -0.18 eV/atom. The electronic total energy comes out at -4.444 eV/atom. Its crystal system is hexagonal.



8.
VASP calculation (PBE-GGA) on a relaxed AcPrCo4 crystal.

It has space group F-43m (No. 216), with a = 7.446 Å, b = 7.446 Å, c = 7.446 Å, α = 90.00°, β = 90.00° and γ = 90.00°. The distinct sites, in fractional coordinates, are Ac at (0.000, 0.000, 0.000), Pr at (0.250, 0.250, 0.750) and Co at (0.124, 0.124, 0.376).

Its energy of formation from the pure elements is 0.10 eV/atom. The electronic total energy comes out at -6.122 eV/atom. Its crystal system is cubic.



Q: Among the records above, which one has the highest electronic total energy?
A: Ac3Pm3Tl2Co



Q: Look up the electronic total energy of the sixth one.
A: -5.454 eV/atom